one) VASP calculation (PBE) on AlTlSi after structural relaxation.

abc: 4.657 4.657 4.657
angles: 60.00 60.00 60.00
Atoms (fractional coordinates):
Tl 0.000 0.000 0.000
Si 0.750 0.750 0.750
Al 0.500 0.500 0.500

The calculation puts the size of the total moment at 0.00 μB/atom. The density of states at the Fermi level comes out at 1.1 states/eV per cell. The value obtained for the theoretical density is 6.03 g/cm3.

two) VASP calculation (PBE) on AlTlSi after structural relaxation.

abc: 3.202 3.202 7.364
angles: 90.00 90.00 120.00
Atoms (fractional coordinates):
Tl 0.333 0.667 0.666
Al 0.000 0.000 0.039
Si 0.667 0.333 0.295

The calculation puts the size of the total moment at 0.00 μB/atom. The density of states at the Fermi level comes out at 1.0 states/eV per cell. The value obtained for the theoretical density is 6.59 g/cm3.

Verdict on stability: two) comes out at the bottom.

one) VASP calculation (PBE) on AlTlSi after structural relaxation.

abc: 6.477 6.476 3.273
angles: 75.38 75.36 29.27
Atoms (fractional coordinates):
Tl 0.666 0.666 0.334
Si 0.362 0.362 0.638
Al 0.972 0.972 0.028

The calculation puts the size of the total moment at 0.00 μB/atom. The density of states at the Fermi level comes out at 1.2 states/eV per cell. The value obtained for the theoretical density is 6.65 g/cm3.

two) VASP calculation (PBE) on AlTlSi after structural relaxation.

abc: 4.718 4.718 4.718
angles: 60.00 60.00 60.00
Atoms (fractional coordinates):
Tl 0.750 0.750 0.750
Al 0.000 0.000 0.000
Si 0.500 0.500 0.500

The calculation puts the size of the total moment at 0.00 μB/atom. The density of states at the Fermi level comes out at 1.3 states/eV per cell. The value obtained for the theoretical density is 5.80 g/cm3.

three) VASP calculation (PBE) on AlTlSi after structural relaxation.

abc: 4.210 4.210 4.867
angles: 90.00 90.00 120.00
Atoms (fractional coordinates):
Si 0.333 0.667 0.168
Tl 0.667 0.333 0.667
Al 0.000 0.000 0.165

The calculation puts the size of the total moment at 0.00 μB/atom. The density of states at the Fermi level comes out at 0.5 states/eV per cell. The value obtained for the theoretical density is 5.77 g/cm3.

Verdict on stability: two) comes out at the bottom.

one) VASP calculation (PBE) on Al3TlSi after structural relaxation.

abc: 4.886 4.886 4.886
angles: 90.00 90.00 90.00
Atoms (fractional coordinates):
Si 0.000 0.000 0.000
Al 0.000 0.500 0.000
Tl 0.500 0.500 0.500
Al 0.000 0.000 0.500
Al 0.500 0.000 0.000

The calculation puts the size of the total moment at 0.00 μB/atom. The density of states at the Fermi level comes out at 2.2 states/eV per cell. The value obtained for the theoretical density is 4.46 g/cm3.

two) VASP calculation (PBE) on Al3TlSi after structural relaxation.

abc: 5.169 5.169 5.169
angles: 90.00 90.00 90.00
Atoms (fractional coordinates):
Al 0.000 0.000 0.500
Tl 0.000 0.000 0.000
Al 0.500 0.000 0.000
Al 0.000 0.500 0.000
Si 0.500 0.500 0.500

The calculation puts the size of the total moment at 0.00 μB/atom. The density of states at the Fermi level comes out at 3.8 states/eV per cell. The value obtained for the theoretical density is 3.77 g/cm3.

Verdict on stability: two) comes out at the bottom.